Density functional theory data (PBE) for an optimized crystal structure of CaTa2Fe2.

Cell and atoms, written as CIF:
```
data_CaTa2Fe2
_cell_length_a 4.2096
_cell_length_b 4.2096
_cell_length_c 10.2669
_cell_angle_alpha 90.00
_cell_angle_beta 90.00
_cell_angle_gamma 90.00
_symmetry_space_group_name_H-M 'P 1'
_symmetry_Int_Tables_number 1
loop_
_symmetry_equiv_pos_as_xyz
'x,y,z'
loop_
_atom_site_label
_atom_site_fract_x
_atom_site_fract_y
_atom_site_fract_z
_atom_site_occupancy
Ca1 0.0000 0.0000 0.0000 1
Ca2 0.5000 0.5000 0.5000 1
Ta1 0.0000 0.5000 0.2500 1
Ta2 0.0000 0.5000 0.7500 1
Ta3 0.5000 0.0000 0.2500 1
Ta4 0.5000 0.0000 0.7500 1
Fe1 0.0000 0.0000 0.3852 1
Fe2 0.0000 0.0000 0.6148 1
Fe3 0.5000 0.5000 0.1148 1
Fe4 0.5000 0.5000 0.8852 1
```

Output
Energy above the most stable polymorph in this dataset, meV per atom: 0
Density, g/cm³: 9.38
Space-group type: No. 139
Spin magnetization, μB/cell: 0.0
Formation energy from the elements, eV per atom: 0.112
Uncorrected energy, eV/atom: -8.415